LiAlFeO4: relaxed, PBE+U.

As for the total magnetization: 16.00 μB per cell. As for the density of states at the Fermi level: 4.6 states/eV/cell. For the energy above the most stable polymorph in this dataset, the calculation gives 0.006 eV/atom.

Lattice parameters (Å, degrees): 5.7116 5.7116 8.4337 90.00 90.00 90.00
Closest atoms and distances in Å follow each position.
Space group P4_322 (No. 95)
One atom of each set of equivalent atoms:
Li  0.0000  0.2335  0.0000 [4 per cell]  6 O 2.01-2.21
Al  0.2633  0.2633  0.6250 [4 per cell]  4 O 1.79-1.81
Fe  0.2314  0.5000  0.2500 [4 per cell]  6 O 1.88-2.06
O  0.0012  0.2649  0.2608 [8 per cell]  1 Al 1.79, 1 Fe 1.88
O  0.2642  0.4863  0.0070 [8 per cell]  1 Al 1.81, 1 Fe 1.98